1.
This record from Alexandria via LeMat-Bulk describes an optimized crystal structure of Hf3Si5Ni6. The functional is PBE.

Cell and atoms, written as POSCAR:
```
Hf3Si5Ni6
1.0
3.831 0.000 0.000
0.000 8.468 0.000
0.000 0.000 11.622
Hf Si Ni
6 10 12
Direct
0.000 0.240 0.687 Hf
0.500 0.760 0.187 Hf
0.500 0.760 0.813 Hf
0.000 0.247 0.000 Hf
0.500 0.753 0.500 Hf
0.000 0.240 0.313 Hf
0.000 0.532 0.882 Si
0.000 0.862 0.661 Si
0.000 0.799 0.000 Si
0.500 0.468 0.618 Si
0.500 0.201 0.500 Si
0.000 0.532 0.118 Si
0.500 0.468 0.382 Si
0.000 0.862 0.339 Si
0.500 0.138 0.839 Si
0.500 0.138 0.161 Si
0.000 0.987 0.847 Ni
0.500 0.013 0.653 Ni
0.500 0.412 0.816 Ni
0.500 0.569 0.000 Ni
0.000 0.431 0.500 Ni
0.000 0.588 0.684 Ni
0.000 0.588 0.316 Ni
0.500 0.975 0.000 Ni
0.000 0.987 0.153 Ni
0.500 0.412 0.184 Ni
0.000 0.025 0.500 Ni
0.500 0.013 0.347 Ni
```

## Properties
The spin magnetization is 0.00 μB/f.u. Its final energy is -7.33 eV per atom. Its density of states at the Fermi level is 10.67 states/eV per cell. The value obtained for the uncorrected formation energy is -0.7811 eV/atom.

2.
This record from Alexandria via LeMat-Bulk describes an optimized crystal structure of HfSi2Ni2. The functional is PBE.

Cell and atoms, written as POSCAR:
```
HfSi2Ni2
1.0
7.032 0.000 0.000
0.000 7.032 0.000
0.000 0.000 2.694
Ni Si Hf
4 4 2
Direct
0.147 0.647 0.500 Ni
0.647 0.853 0.500 Ni
0.853 0.353 0.500 Ni
0.353 0.147 0.500 Ni
0.358 0.858 0.000 Si
0.858 0.642 0.000 Si
0.642 0.142 0.000 Si
0.142 0.358 0.000 Si
0.000 0.000 0.000 Hf
0.500 0.500 0.000 Hf
```

## Properties
The spin magnetization is 0.00 μB/f.u. Its final energy is -6.92 eV per atom. Its density of states at the Fermi level is 5.51 states/eV per cell. The value obtained for the uncorrected formation energy is -0.4458 eV/atom.

3.
This record from Alexandria via LeMat-Bulk describes an optimized crystal structure of HfSi2Ni. The functional is PBE.

Cell and atoms, written as POSCAR:
```
HfSi2Ni
1.0
0.000 3.098 3.098
3.098 0.000 3.098
3.098 3.098 0.000
Ni Si Hf
1 2 1
Direct
0.000 0.000 0.000 Ni
0.250 0.250 0.250 Si
0.750 0.750 0.750 Si
0.500 0.500 0.500 Hf
```

## Properties
The spin magnetization is 0.00 μB/f.u. Its final energy is -6.74 eV per atom. Its density of states at the Fermi level is 4.43 states/eV per cell. The value obtained for the uncorrected formation energy is -0.0960 eV/atom.

4.
This record from Alexandria via LeMat-Bulk describes an optimized crystal structure of HfSi2Ni. The functional is PBE.

Cell and atoms, written as POSCAR:
```
HfSi2Ni
1.0
-2.492 0.628 3.327
0.974 -3.823 1.451
5.246 1.424 6.317
Ni Si Hf
2 4 2
Direct
0.500 0.500 0.000 Ni
0.250 0.750 0.500 Ni
0.515 0.125 0.250 Si
0.235 0.625 0.250 Si
0.375 0.485 0.750 Si
0.875 0.765 0.750 Si
0.000 0.000 0.000 Hf
0.750 0.250 0.500 Hf
```

## Properties
The spin magnetization is 0.00 μB/f.u. Its final energy is -6.80 eV per atom. Its density of states at the Fermi level is 2.56 states/eV per cell. The value obtained for the uncorrected formation energy is -0.1516 eV/atom.

5.
This record from Alexandria via LeMat-Bulk describes an optimized crystal structure of HfSi2Ni5. The functional is PBE.

Cell and atoms, written as POSCAR:
```
HfSi2Ni5
1.0
-0.106 -0.011 3.430
-5.338 -1.737 1.545
0.000 -5.569 1.698
Hf Si Ni
1 2 5
Direct
0.000 0.000 0.000 Hf
0.750 0.750 0.750 Si
0.250 0.250 0.250 Si
0.000 0.500 0.500 Ni
0.643 0.553 0.162 Ni
0.357 0.447 0.838 Ni
0.357 0.838 0.447 Ni
0.643 0.162 0.553 Ni
```

## Properties
The spin magnetization is 0.00 μB/f.u. Its final energy is -6.76 eV per atom. Its density of states at the Fermi level is 5.39 states/eV per cell. The value obtained for the uncorrected formation energy is -0.5420 eV/atom.

6.
This record from Alexandria via LeMat-Bulk describes an optimized crystal structure of Hf2SiNi. The functional is PBE.

Cell and atoms, written as POSCAR:
```
Hf2SiNi
1.0
-2.471 0.173 -2.721
1.287 -4.927 -1.482
-5.556 -0.037 5.042
Hf Si Ni
4 2 2
Direct
0.750 0.213 0.419 Hf
0.250 0.787 0.581 Hf
0.250 0.794 0.066 Hf
0.750 0.206 0.934 Hf
0.750 0.652 0.289 Si
0.250 0.348 0.711 Si
0.250 0.351 0.207 Ni
0.750 0.649 0.793 Ni
```

## Properties
The spin magnetization is 0.00 μB/f.u. Its final energy is -8.47 eV per atom. Its density of states at the Fermi level is 7.15 states/eV per cell. The value obtained for the uncorrected formation energy is -0.6891 eV/atom. The calculation puts the polymorph energy (0 for the lowest one) at 0.000 eV per atom.

7.
This record from Alexandria via LeMat-Bulk describes an optimized crystal structure of Hf2SiNi. The functional is PBE.

Cell and atoms, written as POSCAR:
```
Hf2SiNi
1.0
-1.499 2.247 -2.760
-2.797 -1.359 -2.290
-5.243 2.132 1.878
Hf Si Ni
2 1 1
Direct
0.900 0.663 0.538 Hf
0.699 0.462 0.140 Hf
0.124 0.887 0.865 Si
0.488 0.250 0.774 Ni
```

## Properties
The spin magnetization is 0.00 μB/f.u. Its final energy is -8.22 eV per atom. Its density of states at the Fermi level is 1.50 states/eV per cell. The value obtained for the uncorrected formation energy is -0.4386 eV/atom. The calculation puts the polymorph energy (0 for the lowest one) at 0.251 eV per atom.

8.
This record from Alexandria via LeMat-Bulk describes an optimized crystal structure of Hf3Si4Ni7. The functional is PBE.

Cell and atoms, written as POSCAR:
```
Hf3Si4Ni7
1.0
3.616 0.000 0.912
1.333 6.796 2.341
0.008 -0.022 7.593
Hf Si Ni
3 4 7
Direct
0.321 0.183 0.175 Hf
0.679 0.817 0.825 Hf
0.000 0.500 0.500 Hf
0.659 0.443 0.238 Si
0.341 0.557 0.762 Si
0.890 0.893 0.328 Si
0.110 0.107 0.672 Si
0.311 0.853 0.525 Ni
0.490 0.224 0.795 Ni
0.835 0.402 0.928 Ni
0.689 0.147 0.475 Ni
0.165 0.598 0.072 Ni
0.000 0.000 0.000 Ni
0.510 0.776 0.205 Ni
```

## Properties
The spin magnetization is 0.00 μB/f.u. Its final energy is -7.32 eV per atom. Its density of states at the Fermi level is 8.75 states/eV per cell. The value obtained for the uncorrected formation energy is -0.7496 eV/atom.